## Nd3Er2TmS6 (PBE)

Data for a relaxed structure of Nd3Er2TmS6.

Its crystal system is monoclinic. The value obtained for the formation energy without anion corrections is -1.998 eV per atom.

a b c (Å): 6.7979 6.7979 6.9946
angles (deg): 99.32 99.32 120.15
Fractional positions:
Nd1 0.1673 0.8327 0.5000
Nd2 0.8327 0.1673 0.5000
Nd3 0.5000 0.5000 0.5000
Er1 0.3333 0.6667 0.0000
Er2 0.6667 0.3333 0.0000
Tm1 0.0000 0.0000 0.0000
S1 0.9238 0.5918 0.7709
S2 0.7445 0.7445 0.2297
S3 0.0762 0.4082 0.2291
S4 0.5918 0.9238 0.7709
S5 0.2555 0.2555 0.7703
S6 0.4082 0.0762 0.2291

***

## NdEr4TmS8 (PBE)

Data for a relaxed structure of NdEr4TmS8.

Its crystal system is trigonal. The value obtained for the formation energy without anion corrections is -1.918 eV per atom.

a b c (Å): 8.0301 8.0301 8.0226
angles (deg): 59.97 59.97 60.00
Fractional positions:
Nd1 0.3751 0.3751 0.8746
Er1 0.6247 0.6247 0.1258
Er2 0.9992 0.5022 0.4994
Er3 0.5022 0.9992 0.4994
Er4 0.9992 0.9992 0.4994
Tm1 0.9994 0.9994 0.0018
S1 0.2373 0.7860 0.7394
S2 0.7860 0.2373 0.7394
S3 0.2373 0.2373 0.7394
S4 0.2383 0.2383 0.2852
S5 0.7581 0.2283 0.2555
S6 0.2283 0.7581 0.2555
S7 0.7581 0.7581 0.2555
S8 0.7568 0.7568 0.7296

***

## NdErTm4S8 (PBE)

Data for a relaxed structure of NdErTm4S8.

Its crystal system is trigonal. The value obtained for the formation energy without anion corrections is -1.913 eV per atom.

a b c (Å): 8.0014 8.0014 8.0114
angles (deg): 60.04 60.04 60.00
Fractional positions:
Nd1 0.3746 0.3746 0.8763
Er1 0.9993 0.9993 0.0020
Tm1 0.6252 0.6252 0.1245
Tm2 0.9993 0.5023 0.4992
Tm3 0.5023 0.9993 0.4992
Tm4 0.9993 0.9993 0.4992
S1 0.2388 0.7860 0.7363
S2 0.7860 0.2388 0.7363
S3 0.2388 0.2388 0.7363
S4 0.2375 0.2375 0.2876
S5 0.7561 0.2296 0.2582
S6 0.2296 0.7561 0.2582
S7 0.7561 0.7561 0.2582
S8 0.7571 0.7571 0.7286

***

## Nd2ErTmS6 (PBE)

Data for a relaxed structure of Nd2ErTmS6.

Its crystal system is trigonal. The value obtained for the formation energy without anion corrections is -2.038 eV per atom.

a b c (Å): 7.0189 7.0189 7.3711
angles (deg): 61.57 61.57 60.00
Fractional positions:
Nd1 0.5232 0.5232 0.4304
Nd2 0.0229 0.0229 0.9313
Er1 0.8169 0.8170 0.5491
Tm1 0.3174 0.3173 0.0480
S1 0.6029 0.1977 0.2591
S2 0.1977 0.9403 0.2591
S3 0.9404 0.6028 0.2591
S4 0.4387 0.6970 0.7597
S5 0.6970 0.1046 0.7597
S6 0.1046 0.4387 0.7597

***

## Nd2ErTmS5 (PBE)

Data for a relaxed structure of Nd2ErTmS5.

Its crystal system is tetragonal. The value obtained for the formation energy without anion corrections is -1.481 eV per atom.

a b c (Å): 4.8333 4.8333 10.1925
angles (deg): 90.00 90.00 90.00
Fractional positions:
Nd1 0.5000 0.5000 0.2928
Nd2 0.5000 0.5000 0.7072
Er1 0.0000 0.0000 0.0000
Tm1 0.0000 0.0000 0.5000
S1 0.0000 0.5000 0.5000
S2 0.5000 0.0000 0.5000
S3 0.0000 0.0000 0.7553
S4 0.0000 0.0000 0.2447
S5 0.5000 0.5000 0.0000

***

## Nd3ErTm2S6 (PBE)

Data for a relaxed structure of Nd3ErTm2S6.

Its crystal system is monoclinic. The value obtained for the formation energy without anion corrections is -1.995 eV per atom.

a b c (Å): 6.7866 6.7866 6.9976
angles (deg): 99.30 99.30 120.15
Fractional positions:
Nd1 0.1661 0.8339 0.5000
Nd2 0.8339 0.1661 0.5000
Nd3 0.5000 0.5000 0.5000
Er1 0.0000 0.0000 0.0000
Tm1 0.3334 0.6666 0.0000
Tm2 0.6666 0.3334 0.0000
S1 0.9239 0.5893 0.7714
S2 0.7413 0.7413 0.2282
S3 0.0761 0.4107 0.2286
S4 0.5893 0.9239 0.7714
S5 0.2587 0.2587 0.7718
S6 0.4107 0.0761 0.2286

***

## NdErTm2S6 (PBE)

Data for a relaxed structure of NdErTm2S6.

Its crystal system is trigonal. The value obtained for the formation energy without anion corrections is -2.047 eV per atom.

a b c (Å): 6.9157 6.9158 7.3239
angles (deg): 61.82 61.83 60.00
Fractional positions:
Nd1 0.8091 0.8091 0.5726
Er1 0.3160 0.3160 0.0520
Tm1 0.5171 0.5170 0.4489
Tm2 0.0131 0.0132 0.9606
S1 0.6158 0.2266 0.2455
S2 0.2265 0.9120 0.2455
S3 0.9121 0.6159 0.2456
S4 0.3921 0.7237 0.7482
S5 0.7237 0.1360 0.7482
S6 0.1360 0.3922 0.7482

***

## Nd2ErTmS4 (PBE)

Data for a relaxed structure of Nd2ErTmS4.

Its crystal system is monoclinic. The value obtained for the formation energy without anion corrections is -1.994 eV per atom.

a b c (Å): 3.8937 6.7829 7.0347
angles (deg): 108.58 90.00 90.00
Fractional positions:
Nd1 0.5000 0.0000 0.5000
Nd2 0.0000 0.5000 0.5000
Er1 0.0000 0.0000 0.0000
Tm1 0.5000 0.5000 0.0000
S1 0.5000 0.2437 0.2289
S2 0.5000 0.7563 0.7711
S3 0.0000 0.2586 0.7718
S4 0.0000 0.7414 0.2282

***

## Nd3ErTm3S8 (PBE)

Data for a relaxed structure of Nd3ErTm3S8.

Its crystal system is trigonal. The value obtained for the formation energy without anion corrections is -2.038 eV per atom.

a b c (Å): 7.8299 7.8298 7.9558
angles (deg): 119.48 90.00 120.00
Fractional positions:
Nd1 0.0000 0.0000 0.0000
Nd2 0.0000 0.5000 0.0000
Nd3 0.5000 0.5000 0.0000
Er1 0.0000 0.0000 0.5000
Tm1 0.5000 0.0000 0.5000
Tm2 0.5000 0.5000 0.5000
Tm3 0.0000 0.5000 0.5000
S1 0.2569 0.5138 0.2707
S2 0.7431 0.4862 0.7293
S3 0.7536 0.5073 0.2673
S4 0.2464 0.4927 0.7327
S5 0.7536 0.0136 0.2673
S6 0.2464 0.9864 0.7327
S7 0.2600 0.0136 0.2673
S8 0.7400 0.9864 0.7327

***

## Nd2YErS6 (PBE)

Data for a relaxed structure of Nd2YErS6.

Its crystal system is trigonal. The value obtained for the formation energy without anion corrections is -2.038 eV per atom.

a b c (Å): 7.0468 7.0468 7.4096
angles (deg): 61.61 61.61 60.00
Fractional positions:
Nd1 0.5226 0.5225 0.4324
Nd2 0.0220 0.0220 0.9340
Y1 0.8162 0.8163 0.5512
Er1 0.3170 0.3169 0.0491
S1 0.6043 0.2009 0.2573
S2 0.2009 0.9374 0.2573
S3 0.9375 0.6042 0.2574
S4 0.4340 0.6992 0.7588
S5 0.6992 0.1079 0.7588
S6 0.1079 0.4340 0.7589

***

## Nd4YEr3S8 (PBE)

Data for a relaxed structure of Nd4YEr3S8.

Its crystal system is trigonal. The value obtained for the formation energy without anion corrections is -2.001 eV per atom.

a b c (Å): 7.8680 8.0396 7.8678
angles (deg): 119.30 120.00 90.00
Fractional positions:
Nd1 0.5000 0.0000 0.0000
Nd2 0.5000 0.0000 0.5000
Nd3 0.0000 0.0000 0.0000
Nd4 0.0000 0.0000 0.5000
Y1 0.0000 0.5000 0.0000
Er1 0.5000 0.5000 0.0000
Er2 0.5000 0.5000 0.5000
Er3 0.0000 0.5000 0.5000
S1 0.2449 0.7308 0.9860
S2 0.2449 0.7308 0.4897
S3 0.2569 0.2708 0.5139
S4 0.7411 0.7308 0.9860
S5 0.2589 0.2692 0.0140
S6 0.7431 0.7292 0.4861
S7 0.7551 0.2692 0.5103
S8 0.7551 0.2692 0.0140

***

## NdY3Er2S6 (PBE)

Data for a relaxed structure of NdY3Er2S6.

Its crystal system is monoclinic. The value obtained for the formation energy without anion corrections is -1.987 eV per atom.

a b c (Å): 6.8108 6.8108 6.7937
angles (deg): 99.59 99.59 120.18
Fractional positions:
Nd1 0.0000 0.0000 0.0000
Y1 0.1608 0.8392 0.5000
Y2 0.8392 0.1608 0.5000
Y3 0.5000 0.5000 0.5000
Er1 0.3343 0.6657 0.0000
Er2 0.6657 0.3343 0.0000
S1 0.9162 0.5709 0.7478
S2 0.7380 0.7380 0.2482
S3 0.0838 0.4291 0.2522
S4 0.5709 0.9162 0.7478
S5 0.2620 0.2620 0.7518
S6 0.4291 0.0838 0.2522

***

## NdYEr2S4 (PBE)

Data for a relaxed structure of NdYEr2S4.

Its crystal system is monoclinic. The value obtained for the formation energy without anion corrections is -1.980 eV per atom.

a b c (Å): 3.8824 6.8872 6.7914
angles (deg): 71.14 90.00 90.00
Fractional positions:
Nd1 0.5000 0.5000 0.0000
Y1 0.0000 0.5000 0.5000
Er1 0.0000 0.0000 0.0000
Er2 0.5000 0.0000 0.5000
S1 0.0000 0.7649 0.7391
S2 0.0000 0.2351 0.2609
S3 0.5000 0.7603 0.2522
S4 0.5000 0.2397 0.7478

***

## NdYEr4S8 (PBE)

Data for a relaxed structure of NdYEr4S8.

Its crystal system is trigonal. The value obtained for the formation energy without anion corrections is -1.923 eV per atom.

a b c (Å): 8.0372 8.0372 8.0589
angles (deg): 60.09 60.09 60.00
Fractional positions:
Nd1 0.3743 0.3743 0.8772
Y1 0.9994 0.9994 0.0019
Er1 0.6254 0.6254 0.1239
Er2 0.9993 0.5023 0.4990
Er3 0.5023 0.9993 0.4990
Er4 0.9993 0.9993 0.4990
S1 0.2406 0.7840 0.7349
S2 0.7840 0.2406 0.7349
S3 0.2406 0.2406 0.7349
S4 0.2376 0.2376 0.2872
S5 0.7548 0.2303 0.2600
S6 0.2303 0.7548 0.2600
S7 0.7548 0.7548 0.2600
S8 0.7574 0.7574 0.7279

***

## Nd2YErS4 (PBE)

Data for a relaxed structure of Nd2YErS4.

Its crystal system is monoclinic. The value obtained for the formation energy without anion corrections is -2.006 eV per atom.

a b c (Å): 3.9223 6.8403 7.0284
angles (deg): 108.73 90.00 90.00
Fractional positions:
Nd1 0.5000 0.0000 0.5000
Nd2 0.0000 0.5000 0.5000
Y1 0.0000 0.0000 0.0000
Er1 0.5000 0.5000 0.0000
S1 0.5000 0.2466 0.2332
S2 0.5000 0.7534 0.7668
S3 0.0000 0.2589 0.7686
S4 0.0000 0.7411 0.2314

***

## Nd3Er5Sb8 (PBE)

Data for a relaxed structure of Nd3Er5Sb8.

Its crystal system is trigonal. The value obtained for the formation energy without anion corrections is -1.122 eV per atom.

a b c (Å): 8.8413 8.8413 8.8340
angles (deg): 59.97 59.97 60.00
Fractional positions:
Nd1 0.5000 0.0000 0.5000
Nd2 0.0000 0.0000 0.5000
Nd3 0.0000 0.5000 0.5000
Er1 0.5000 0.0000 0.0000
Er2 0.5000 0.5000 0.0000
Er3 0.0000 0.0000 0.0000
Er4 0.0000 0.5000 0.0000
Er5 0.5000 0.5000 0.5000
Sb1 0.2500 0.2500 0.7575
Sb2 0.2500 0.7425 0.7575
Sb3 0.7425 0.2500 0.7575
Sb4 0.7462 0.7462 0.7614
Sb5 0.7500 0.7500 0.2425
Sb6 0.7500 0.2575 0.2425
Sb7 0.2575 0.7500 0.2425
Sb8 0.2538 0.2538 0.2386

***

## NdErSb (PBE)

Data for a relaxed structure of NdErSb.

Its crystal system is trigonal. The value obtained for the formation energy without anion corrections is -0.455 eV per atom.

a b c (Å): 4.1127 5.0875 5.0875
angles (deg): 120.00 90.00 90.00
Fractional positions:
Sb1 0.2621 0.3333 0.6667
Nd1 0.6298 0.6667 0.3333
Er1 0.1081 0.0000 0.0000

***

## Nd8ErSb6 (PBE)

Data for a relaxed structure of Nd8ErSb6.

Its crystal system is trigonal. The value obtained for the formation energy without anion corrections is -0.805 eV per atom.

a b c (Å): 8.1840 8.1840 9.8354
angles (deg): 65.41 65.41 60.00
Fractional positions:
Nd1 0.5385 0.2174 0.3635
Nd2 0.7826 0.1194 0.6365
Nd3 0.1194 0.4615 0.6365
Nd4 0.6667 0.6667 0.9998
Nd5 0.3333 0.3333 0.0002
Nd6 0.8806 0.5385 0.3635
Nd7 0.2174 0.8806 0.3635
Nd8 0.4615 0.7826 0.6365
Er1 0.0000 0.0000 0.0000
Sb1 0.3906 0.0669 0.8026
Sb2 0.9331 0.2601 0.1974
Sb3 0.2601 0.6094 0.1974
Sb4 0.7399 0.3906 0.8026
Sb5 0.0669 0.7399 0.8026
Sb6 0.6094 0.9331 0.1974

***

## NdErSb (PBE)

Data for a relaxed structure of NdErSb.

Its crystal system is tetragonal. The value obtained for the formation energy without anion corrections is -0.628 eV per atom.

a b c (Å): 4.0254 4.0254 6.0783
angles (deg): 109.34 109.34 90.00
Site moments in Bohr magnetons follow the coordinates.
Fractional positions:
Sb1 0.6259 0.6259 0.2518  0.00
Nd1 0.9595 0.9595 0.9189  0.18
Er1 0.2646 0.2646 0.5293  0.30

***

## Nd2Er5Sb4 (PBE)

Data for a relaxed structure of Nd2Er5Sb4.

Its crystal system is monoclinic. The value obtained for the formation energy without anion corrections is -0.477 eV per atom.

a b c (Å): 4.1007 6.7655 13.2240
angles (deg): 89.83 98.92 90.00
Site moments in Bohr magnetons follow the coordinates.
Fractional positions:
Nd1 0.9116 0.7142 0.8232  0.18
Nd2 0.0884 0.2858 0.1768  0.18
Er1 0.1508 0.7946 0.3016  0.00
Er2 0.8492 0.2054 0.6984  0.00
Er3 0.2359 0.2229 0.4718  -0.03
Er4 0.5000 0.0000 0.0000  0.27
Er5 0.7641 0.7771 0.5282  -0.03
Sb1 0.6730 0.4702 0.3459  0.00
Sb2 0.0380 0.7170 0.0761  0.01
Sb3 0.3270 0.5298 0.6541  0.00
Sb4 0.9620 0.2830 0.9239  0.01

***

## NdEr3Sb2 (PBE)

Data for a relaxed structure of NdEr3Sb2.

Its crystal system is monoclinic. The value obtained for the formation energy without anion corrections is -0.680 eV per atom.

a b c (Å): 4.3215 10.5665 9.6787
angles (deg): 124.80 90.00 101.80
Fractional positions:
Nd1 0.8889 0.7778 0.8991
Nd2 0.1111 0.2222 0.1009
Er1 0.3116 0.6233 0.5127
Er2 0.9427 0.8855 0.5600
Er3 0.6422 0.2844 0.8077
Er4 0.3578 0.7156 0.1923
Er5 0.0573 0.1145 0.4400
Er6 0.6884 0.3767 0.4873
Sb1 0.4880 0.9761 0.8206
Sb2 0.5120 0.0239 0.1794
Sb3 0.7542 0.5085 0.2215
Sb4 0.2458 0.4915 0.7785

***

In order of appearance, total magnetic moment = 0.000; 0.000; 0.000; 0.000; 0.000; 0.000; 0.000; 0.000; 0.000; 0.000; 0.000; 0.000; 0.000; 0.000; 0.000; 0.000; 0.000; 0.001; 0.832; 1.197; 0.000 μB/f.u..